1.
! NaPm7Ge5 (PBE-GGA, optimized geometry); values from VASP
! * raw total energy: -63.52 eV/cell
! * energy of formation: -0.45 eV/atom
! * crystal system: orthorhombic
&SYSTEM
  ibrav = 0, nat = 13, ntyp = 3
/
ATOMIC_SPECIES
Pm 145.00 Pm.upf
Ge 72.64 Ge.upf
Na 22.99 Na.upf
ATOMIC_POSITIONS angstrom
Pm -8.412 -7.114 0.047
Pm -4.627 -8.220 0.991
Pm -4.943 -5.167 -0.903
Pm -2.427 -3.014 -0.185
Pm -2.885 -7.657 -2.825
Pm -6.396 -8.573 -2.641
Pm -6.776 -4.842 2.362
Ge -2.059 -4.786 -2.571
Ge 0.182 -3.832 -1.408
Ge -2.746 -1.713 2.495
Ge -7.201 -9.804 -0.080
Ge -4.987 -2.667 1.331
Na -5.230 -2.383 -2.631
CELL_PARAMETERS angstrom
-5.246 -2.233 -2.724
0.867 -7.618 -2.755
-5.224 -3.211 5.365

2.
! NaPmGe (PBE-GGA, optimized geometry); values from VASP
! * raw total energy: -11.81 eV/cell
! * energy of formation: -0.37 eV/atom
! * crystal system: cubic
&SYSTEM
  ibrav = 0, nat = 3, ntyp = 3
/
ATOMIC_SPECIES
Na 22.99 Na.upf
Pm 145.00 Pm.upf
Ge 72.64 Ge.upf
ATOMIC_POSITIONS angstrom
Na -1.994 -4.455 -3.611
Pm 0.000 0.000 0.000
Ge -0.997 -2.228 -1.805
CELL_PARAMETERS angstrom
-2.831 -1.066 -3.927
1.368 -3.581 -3.143
-2.525 -4.263 -0.151

3.
! NaPm4Ge2 (PBE-GGA, optimized geometry); values from VASP
! * raw total energy: -64.06 eV/cell
! * energy of formation: -0.35 eV/atom
! * crystal system: triclinic
&SYSTEM
  ibrav = 0, nat = 14, ntyp = 3
/
ATOMIC_SPECIES
Na 22.99 Na.upf
Pm 145.00 Pm.upf
Ge 72.64 Ge.upf
ATOMIC_POSITIONS angstrom
Na 1.403 -5.056 0.476
Na -0.238 -2.581 -0.215
Pm -4.228 -6.670 1.167
Pm -1.188 -2.021 -3.754
Pm -5.512 -1.321 -4.924
Pm -3.422 -4.303 -4.199
Pm -3.709 -3.483 -0.544
Pm -0.717 -6.596 2.483
Pm -0.055 -3.072 3.308
Pm -2.899 -5.180 5.027
Ge 0.275 -5.644 5.199
Ge -2.623 -4.216 2.200
Ge -3.022 -2.048 -6.241
Ge -3.797 -1.221 -2.500
CELL_PARAMETERS angstrom
-7.381 -0.722 -2.905
2.241 -0.447 -7.428
-0.129 -6.058 9.761

4.
! NaPm2Ge (PBE-GGA, optimized geometry); values from VASP
! * raw total energy: -16.29 eV/cell
! * energy of formation: -0.21 eV/atom
! * crystal system: tetragonal
&SYSTEM
  ibrav = 0, nat = 4, ntyp = 3
/
ATOMIC_SPECIES
Na 22.99 Na.upf
Pm 145.00 Pm.upf
Ge 72.64 Ge.upf
ATOMIC_POSITIONS angstrom
Na 1.919 1.919 3.964
Pm 0.000 0.000 1.560
Pm 0.000 0.000 6.368
Ge 1.919 1.919 0.000
CELL_PARAMETERS angstrom
3.838 0.000 0.000
0.000 3.838 0.000
0.000 0.000 7.929

5.
! NaPmGe (PBE-GGA, optimized geometry); values from VASP
! * raw total energy: -11.41 eV/cell
! * energy of formation: -0.24 eV/atom
! * crystal system: trigonal
&SYSTEM
  ibrav = 0, nat = 3, ntyp = 3
/
ATOMIC_SPECIES
Pm 145.00 Pm.upf
Ge 72.64 Ge.upf
Na 22.99 Na.upf
ATOMIC_POSITIONS angstrom
Pm 3.471 0.000 0.000
Ge 2.188 0.000 2.832
Na 1.525 2.452 1.416
CELL_PARAMETERS angstrom
3.592 0.000 0.000
0.000 4.905 0.000
0.000 -2.452 4.248

6.
! NaPm2Ge (PBE-GGA, optimized geometry); values from VASP
! * raw total energy: -16.13 eV/cell
! * energy of formation: -0.17 eV/atom
! * crystal system: trigonal
&SYSTEM
  ibrav = 0, nat = 4, ntyp = 3
/
ATOMIC_SPECIES
Pm 145.00 Pm.upf
Ge 72.64 Ge.upf
Na 22.99 Na.upf
ATOMIC_POSITIONS angstrom
Pm -2.626 -3.647 5.974
Pm -6.113 0.864 5.100
Ge -4.369 -1.391 5.537
Na 0.000 0.000 0.000
CELL_PARAMETERS angstrom
-1.692 2.845 2.386
-4.042 0.557 -0.043
-3.005 -6.184 8.731

7.
! NaPmGe2Pt2 (PBE-GGA, optimized geometry); values from VASP
! * raw total energy: -31.60 eV/cell
! * energy of formation: -0.70 eV/atom
! * crystal system: trigonal
&SYSTEM
  ibrav = 0, nat = 6, ntyp = 4
/
ATOMIC_SPECIES
Ge 72.64 Ge.upf
Pm 145.00 Pm.upf
Pt 195.08 Pt.upf
Na 22.99 Na.upf
ATOMIC_POSITIONS angstrom
Ge 2.165 1.250 5.634
Ge 0.000 2.500 2.080
Pm 0.000 0.000 0.000
Pt 2.165 1.250 1.868
Pt 0.000 2.500 5.846
Na 0.000 0.000 3.857
CELL_PARAMETERS angstrom
4.330 0.000 0.000
-2.165 3.750 0.000
0.000 0.000 7.714

8.
! NaPm2Ge4Pt3 (PBE-GGA, optimized geometry); values from VASP
! * raw total energy: -54.76 eV/cell
! * energy of formation: -0.74 eV/atom
! * crystal system: tetragonal
&SYSTEM
  ibrav = 0, nat = 10, ntyp = 4
/
ATOMIC_SPECIES
Ge 72.64 Ge.upf
Pt 195.08 Pt.upf
Pm 145.00 Pm.upf
Na 22.99 Na.upf
ATOMIC_POSITIONS angstrom
Ge 6.015 3.078 2.295
Ge -1.057 2.350 1.684
Ge 0.000 0.000 0.000
Ge 2.545 0.715 3.415
Pt 8.261 3.415 3.235
Pt 4.809 0.721 2.013
Pt 0.299 0.378 2.475
Pm 2.152 2.499 0.678
Pm 6.408 1.294 5.031
Na 3.751 3.072 3.697
CELL_PARAMETERS angstrom
-0.389 4.294 -0.608
-1.725 0.407 3.977
9.617 1.443 4.025